1.
# MgPd5Au4, relaxed, DFT PBE
data_MgPd5Au4
_chemical_formula_sum 'Mg2 Pd10 Au8'
_space_group_name_H-M_alt 'C 1 2/m 1'
_space_group_IT_number 12
_space_group_name_Hall '-C 2y'
_cell_length_a 13.9153
_cell_length_b 4.2281
_cell_length_c 6.8505
_cell_angle_alpha 90.00
_cell_angle_beta 117.47
_cell_angle_gamma 90.00
loop_
_atom_site_label
_atom_site_fract_x
_atom_site_fract_y
_atom_site_fract_z
Mg1 0.0000 0.0000 0.0000
Pd1 0.0000 0.0000 0.5000
Pd2 0.1629 0.5000 0.7029
Pd3 0.1866 0.5000 0.1190
Au1 0.0195 0.5000 0.2501
Au2 0.1750 0.0000 0.4161
# V   17.9 A^3/atom
# Energy of formation from the pure elements   -0.6 eV/f.u.
# Energy   -4.13 eV per atom
# Excess energy over the best structure of this formula in the dataset   60 meV per atom

=====

2.
# Mg5PdAu4, relaxed, DFT PBE
data_Mg5PdAu4
_chemical_formula_sum 'Mg5 Pd1 Au4'
_space_group_name_H-M_alt 'P 4/m m m'
_space_group_IT_number 123
_space_group_name_Hall '-P 4 2'
_cell_length_a 3.2971
_cell_length_b 3.2971
_cell_length_c 16.2657
_cell_angle_alpha 90.00
_cell_angle_beta 90.00
_cell_angle_gamma 90.00
loop_
_atom_site_label
_atom_site_fract_x
_atom_site_fract_y
_atom_site_fract_z
Mg1 0.0000 0.0000 0.0000
Mg2 0.0000 0.0000 0.2024
Mg3 0.0000 0.0000 0.4058
Pd1 0.5000 0.5000 0.5000
Au1 0.5000 0.5000 0.1018
Au2 0.5000 0.5000 0.3048
# V   17.7 A^3/atom
# Energy of formation from the pure elements   -6.3 eV/f.u.
# Energy   -3.26 eV per atom

=====

> V of number 2 (Mg5PdAu4)?

17.7 A^3/atom

=====

> Which of these has the highest energy of formation from the pure elements?

MgPd5Au4

=====

> Which value of energy does entry 1 give?

-4.13 eV per atom